Material: LaAu2Br
Method: DFT, PBE-GGA
State: optimized geometry

abc: 7.2287 7.2287 7.2287
angles: 37.87 37.87 37.87
Positions (direct):
1 Au 0.9931 0.9931 0.9931
2 Au 0.2984 0.2984 0.2984
3 Br 0.4803 0.4803 0.4803
4 La 0.7281 0.7281 0.7281

Results
The size of the total moment is 0.0 μB/cell. The space group is R3m (160).

***

Material: LaAuBr
Method: DFT, PBE-GGA
State: optimized geometry

abc: 4.3994 4.3985 12.2273
angles: 99.90 100.25 59.98
Positions (direct):
1 La 0.0238 0.3434 0.9184
2 La 0.5520 0.8865 0.5135
3 Au 0.6446 0.9691 0.7841
4 Au 0.9312 0.2609 0.6478
5 Br 0.4087 0.7233 0.0697
6 Br 0.1670 0.5066 0.3621

Results
As for the density of states at the Fermi level: 0.14 states/eV per cell. The size of the total moment is 0.0 μB/cell. The space group is P-1 (2).

***

Material: La2AuBr
Method: DFT, PBE-GGA
State: optimized geometry

abc: 4.2779 4.2779 8.3653
angles: 75.19 75.19 60.00
Positions (direct):
1 La 0.0734 0.0734 0.7796
2 La 0.2602 0.2602 0.2193
3 Au 0.6677 0.6677 0.9969
4 Br 0.4986 0.4986 0.5042

Results
As for the density of states at the Fermi level: 3.01 states/eV per cell. The size of the total moment is 0.0 μB/cell. The space group is R3m (160).

***

Material: LaAuBr
Method: DFT, PBE-GGA
State: optimized geometry

abc: 4.3064 4.3064 6.8510
angles: 90.00 90.00 120.00
Positions (direct):
1 Au 0.0000 0.0000 0.9178
2 Br 0.6667 0.3333 0.4060
3 La 0.3333 0.6667 0.6762

Results
As for the density of states at the Fermi level: 2.16 states/eV per cell. The size of the total moment is 0.8 μB/cell. The space group is P3m1 (156).

***

Material: LaAu3Br
Method: DFT, PBE-GGA
State: optimized geometry

abc: 5.1813 5.1813 5.1813
angles: 90.00 90.00 90.00
Positions (direct):
1 Au 0.0000 0.5000 0.0000
2 Au 0.0000 0.0000 0.5000
3 Au 0.5000 0.0000 0.0000
4 Br 0.0000 0.0000 0.0000
5 La 0.5000 0.5000 0.5000

Results
As for the density of states at the Fermi level: 3.18 states/eV per cell. The size of the total moment is 0.0 μB/cell. The space group is Pm-3m (221).

***

Material: La3AuBr2
Method: DFT, PBE-GGA
State: optimized geometry

abc: 4.4231 6.1912 7.5405
angles: 114.24 107.06 90.00
Positions (direct):
1 La 0.5000 0.5000 0.0000
2 La 0.1630 0.1630 0.3261
3 La 0.8370 0.8370 0.6739
4 Au 0.5000 0.0000 0.0000
5 Br 0.1660 0.6660 0.3319
6 Br 0.8340 0.3340 0.6681

Results
As for the density of states at the Fermi level: 3.20 states/eV per cell. The size of the total moment is 0.0 μB/cell. The space group is Immm (71).

***

Material: La4Au2Br3
Method: DFT, PBE-GGA
State: optimized geometry

abc: 4.3554 4.3554 18.3967
angles: 90.06 89.94 120.01
Positions (direct):
1 La 0.3336 0.6664 0.8892
2 La 0.9989 0.0011 0.3022
3 La 0.0011 0.9989 0.6978
4 La 0.6664 0.3336 0.1108
5 Au 0.6673 0.3327 0.7956
6 Au 0.3327 0.6673 0.2044
7 Br 0.6655 0.3345 0.4026
8 Br 0.0000 0.0000 0.0000
9 Br 0.3345 0.6655 0.5974

Results
As for the density of states at the Fermi level: 7.24 states/eV per cell. The size of the total moment is 0.0 μB/cell. The space group is C2/m (12).

***

Material: LaAu2Br
Method: DFT, PBE-GGA
State: optimized geometry

abc: 4.2582 4.2582 5.3450
angles: 90.00 90.00 90.00
Positions (direct):
1 Au 0.0000 0.0000 0.0000
2 Au 0.5000 0.5000 0.0000
3 Br 0.5000 0.0000 0.5000
4 La 0.0000 0.5000 0.5000

Results
As for the density of states at the Fermi level: 1.55 states/eV per cell. The size of the total moment is 0.0 μB/cell. The space group is P4/mmm (123).

***

Material: La2AuBr
Method: DFT, PBE-GGA
State: optimized geometry

abc: 4.3344 6.1330 9.0748
angles: 90.00 90.00 90.00
Positions (direct):
1 La 0.0000 0.0000 0.8811
2 La 0.0000 0.0000 0.4018
3 La 0.5000 0.5000 0.5982
4 La 0.5000 0.5000 0.1189
5 Au 0.5000 0.0000 0.6447
6 Au 0.0000 0.5000 0.3553
7 Br 0.0000 0.5000 0.8637
8 Br 0.5000 0.0000 0.1363

Results
As for the density of states at the Fermi level: 6.27 states/eV per cell. The size of the total moment is 0.0 μB/cell. The space group is Pmmn (59).

***

Material: LaAu2Br
Method: DFT, PBE-GGA
State: optimized geometry

abc: 5.2340 5.2340 5.2340
angles: 60.00 60.00 60.00
Positions (direct):
1 Au 0.2500 0.2500 0.2500
2 Au 0.7500 0.7500 0.7500
3 Br 0.0000 0.0000 0.0000
4 La 0.5000 0.5000 0.5000

Results
As for the density of states at the Fermi level: 0.03 states/eV per cell. The size of the total moment is 0.0 μB/cell. The space group is Fm-3m (225).

***

Material: LaAuBr
Method: DFT, PBE-GGA
State: optimized geometry

abc: 5.0961 5.0961 5.0961
angles: 60.00 60.00 60.00
Positions (direct):
1 Au 0.0000 0.0000 0.0000
2 Br 0.5000 0.5000 0.5000
3 La 0.7500 0.7500 0.7500

Results
As for the density of states at the Fermi level: 4.21 states/eV per cell. The size of the total moment is 0.0 μB/cell. The space group is F-43m (216).

***

Material: La7AuBr12
Method: DFT, PBE-GGA
State: optimized geometry

abc: 9.8088 9.8088 9.8088
angles: 109.20 109.20 109.20
Positions (direct):
1 La 0.9509 0.6563 0.8661
2 La 0.3437 0.1339 0.0491
3 La 0.1339 0.0491 0.3437
4 La 0.5000 0.5000 0.5000
5 La 0.8661 0.9509 0.6563
6 La 0.6563 0.8661 0.9509
7 La 0.0491 0.3437 0.1339
8 Au 0.0000 0.0000 0.0000
9 Br 0.9224 0.3056 0.7859
10 Br 0.6944 0.2141 0.0776
11 Br 0.4850 0.1608 0.3926
12 Br 0.8392 0.6074 0.5150
13 Br 0.2141 0.0776 0.6944
14 Br 0.6074 0.5150 0.8392
15 Br 0.3926 0.4850 0.1608
16 Br 0.7859 0.9224 0.3056
17 Br 0.1608 0.3926 0.4850
18 Br 0.5150 0.8392 0.6074
19 Br 0.3056 0.7859 0.9224
20 Br 0.0776 0.6944 0.2141

Results
As for the density of states at the Fermi level: 12.71 states/eV per cell. The size of the total moment is 1.5 μB/cell. The space group is R-3 (148).

***

So what do the calculations give for E_tot? Going down the list: -4.207, -4.566, -4.717, -4.274, -2.964, -4.733, -4.707, -4.043, -4.754, -3.953, -4.295, -4.580 eV/atom.